This record from Alexandria describes ZnN after structural relaxation. The functional is PBE.

Properties
polymorph energy (0 for the lowest one)	11.70	kcal/mol of atoms
DOS(E_F)	4.711	states/eV per cell

```
data_ZnN
_cell_length_a 9.8272
_cell_length_b 3.3961
_cell_length_c 4.1456
_cell_angle_alpha 90.00
_cell_angle_beta 90.00
_cell_angle_gamma 90.00
_space_group_name_H-M_alt 'P m n 21'
_space_group_IT_number 31
_space_group_name_Hall 'P 2ac -2'
loop_
_atom_site_label
_atom_site_type_symbol
_atom_site_fract_x
_atom_site_fract_y
_atom_site_fract_z
_atom_site_occupancy
Zn1 Zn 0.0000 0.0283 0.0000 1
Zn2 Zn 0.1826 0.6922 0.5871 1
N1 N 0.0000 0.4776 0.6850 1
N2 N 0.1886 0.8432 0.0991 1
```

***

This record from Alexandria describes Sr2HIr after structural relaxation. The functional is PBE.

Properties
polymorph energy (0 for the lowest one)	3.40	kcal/mol of atoms
DOS(E_F)	0.000	states/eV per cell

```
data_Sr2HIr
_cell_length_a 5.9476
_cell_length_b 5.9476
_cell_length_c 13.0568
_cell_angle_alpha 90.00
_cell_angle_beta 90.00
_cell_angle_gamma 90.00
_space_group_name_H-M_alt 'I -4 2 d'
_space_group_IT_number 122
_space_group_name_Hall 'I -4 2bw'
loop_
_atom_site_label
_atom_site_type_symbol
_atom_site_fract_x
_atom_site_fract_y
_atom_site_fract_z
_atom_site_occupancy
Sr1 Sr 0.2104 0.2500 0.1250 1
H1 H 0.0000 0.0000 0.0000 1
Ir1 Ir 0.0000 0.0000 0.5000 1
```

***

This record from Alexandria describes AcBS2 after structural relaxation. The functional is PBE.

Properties
DFT total energy	-53.80	eV for the cell shown
DOS(E_F)	2.769	states/eV per cell

```
data_AcBS2
_cell_length_a 3.4297
_cell_length_b 3.4297
_cell_length_c 24.4121
_cell_angle_alpha 90.00
_cell_angle_beta 90.00
_cell_angle_gamma 120.00
_space_group_name_H-M_alt 'R -3 m'
_space_group_IT_number 166
_space_group_name_Hall '-R 3 2"'
loop_
_atom_site_label
_atom_site_type_symbol
_atom_site_fract_x
_atom_site_fract_y
_atom_site_fract_z
_atom_site_occupancy
Ac1 Ac 0.0000 0.0000 0.0000 1
B1 B 0.0000 0.0000 0.5000 1
S1 S 0.0000 0.0000 0.1202 1
```

***

This record from Alexandria describes Ba6HgRh after structural relaxation. The functional is PBE.

Properties
polymorph energy (0 for the lowest one)	0.00	kcal/mol of atoms
energy of formation from the pure elements	-224	meV per atom
DOS(E_F)	14.196	states/eV per cell

```
data_Ba6HgRh
_cell_length_a 7.9677
_cell_length_b 7.9677
_cell_length_c 15.4827
_cell_angle_alpha 90.00
_cell_angle_beta 90.00
_cell_angle_gamma 120.00
_space_group_name_H-M_alt 'P -3 1 c'
_space_group_IT_number 163
_space_group_name_Hall '-P 3 2c'
loop_
_atom_site_label
_atom_site_type_symbol
_atom_site_fract_x
_atom_site_fract_y
_atom_site_fract_z
_atom_site_occupancy
Ba1 Ba 0.0089 0.3200 0.1170 1
Hg1 Hg 0.3333 0.6667 0.7500 1
Rh1 Rh 0.0000 0.0000 0.0000 1
```

***

This record from Alexandria describes BaRe2P after structural relaxation. The functional is PBE.

Properties
energy of formation from the pure elements	814	meV per atom
DOS(E_F)	8.618	states/eV per cell

```
data_BaRe2P
_cell_length_a 2.9060
_cell_length_b 5.3416
_cell_length_c 9.8761
_cell_angle_alpha 90.00
_cell_angle_beta 90.00
_cell_angle_gamma 90.00
_space_group_name_H-M_alt 'I m m m'
_space_group_IT_number 71
_space_group_name_Hall '-I 2 2'
loop_
_atom_site_label
_atom_site_type_symbol
_atom_site_fract_x
_atom_site_fract_y
_atom_site_fract_z
_atom_site_occupancy
Ba1 Ba 0.0000 0.0000 0.0000 1
Re1 Re 0.0000 0.5000 0.2009 1
P1 P 0.0000 0.0000 0.5000 1
```

***

This record from Alexandria describes DyTm5Sc5 after structural relaxation. The functional is PBE.

Properties
energy of formation from the pure elements	250	meV per atom
DOS(E_F)	22.278	states/eV per cell

```
data_DyTm5Sc5
_cell_length_a 5.7494
_cell_length_b 5.7494
_cell_length_c 11.1443
_cell_angle_alpha 90.00
_cell_angle_beta 90.00
_cell_angle_gamma 120.00
_space_group_name_H-M_alt 'P -6 m 2'
_space_group_IT_number 187
_space_group_name_Hall 'P -6 2'
loop_
_atom_site_label
_atom_site_type_symbol
_atom_site_fract_x
_atom_site_fract_y
_atom_site_fract_z
_atom_site_occupancy
Dy1 Dy 0.0000 0.0000 0.0000 1
Tm1 Tm 0.0000 0.0000 0.3199 1
Tm2 Tm 0.3333 0.6667 0.1611 1
Tm3 Tm 0.6667 0.3333 0.0000 1
Sc1 Sc 0.5016 0.0032 0.5000 1
Sc2 Sc 0.6667 0.3333 0.2681 1
```

***

This record from Alexandria describes CsTaBe after structural relaxation. The functional is PBE.

Properties
polymorph energy (0 for the lowest one)	4.90	kcal/mol of atoms
energy of formation from the pure elements	685	meV per atom
DOS(E_F)	4.573	states/eV per cell

```
data_CsTaBe
_cell_length_a 3.5233
_cell_length_b 4.6671
_cell_length_c 12.9669
_cell_angle_alpha 97.97
_cell_angle_beta 91.63
_cell_angle_gamma 112.08
_space_group_name_H-M_alt 'P 1'
_space_group_IT_number 1
_space_group_name_Hall 'P 1'
loop_
_atom_site_label
_atom_site_type_symbol
_atom_site_fract_x
_atom_site_fract_y
_atom_site_fract_z
_atom_site_occupancy
Cs1 Cs 0.0000 0.0000 0.0000 1
Cs2 Cs 0.2863 0.6798 0.3911 1
Ta1 Ta 0.0854 0.2513 0.6160 1
Ta2 Ta 0.8226 0.7073 0.7113 1
Be1 Be 0.1833 0.4105 0.7977 1
Be2 Be 0.5501 0.1528 0.7509 1
```

***

This record from Alexandria describes LaEr2Ga6 after structural relaxation. The functional is PBE.

Properties
polymorph energy (0 for the lowest one)	0.00	kcal/mol of atoms
energy of formation from the pure elements	-624	meV per atom
DOS(E_F)	5.842	states/eV per cell

```
data_LaEr2Ga6
_cell_length_a 7.3430
_cell_length_b 7.3430
_cell_length_c 4.2094
_cell_angle_alpha 90.00
_cell_angle_beta 90.00
_cell_angle_gamma 120.00
_space_group_name_H-M_alt 'P 6/m m m'
_space_group_IT_number 191
_space_group_name_Hall '-P 6 2'
loop_
_atom_site_label
_atom_site_type_symbol
_atom_site_fract_x
_atom_site_fract_y
_atom_site_fract_z
_atom_site_occupancy
La1 La 0.0000 0.0000 0.0000 1
Er1 Er 0.3333 0.6667 0.0000 1
Ga1 Ga 0.0000 0.3359 0.5000 1
```